Computed, not measured: an optimized crystal structure of LaNi4P2 at the GGA-PBE level of DFT.

Properties
VASP energy (eV per cell): -174.36
Relative energy among the computed polymorphs (meV per atom): 57

a b c (Å): 20.956 3.636 5.466
angles (deg): 90.00 90.00 90.00
Space group Pnma (No. 62)
One atom of each set of equivalent atoms:
1 La 0.135 0.250 0.006 x4
2 Ni 0.023 0.750 0.144 x4
3 Ni 0.046 0.250 0.482 x4
4 Ni 0.127 0.750 0.491 x4
5 Ni 0.231 0.750 0.289 x4
6 P 0.042 0.750 0.744 x4
7 P 0.197 0.250 0.501 x4



Computed, not measured: an optimized crystal structure of La2NiP2 at the GGA-PBE level of DFT.

Properties
VASP energy (eV per cell): -61.69

a b c (Å): 7.375 7.375 4.073
angles (deg): 90.00 90.00 90.00
Space group P4/mbm (No. 127)
One atom of each set of equivalent atoms:
1 La 0.151 0.349 0.000 x4
2 Ni 0.000 0.000 0.500 x2
3 P 0.164 0.664 0.500 x4



Computed, not measured: an optimized crystal structure of La2Ni4P3Pd at the GGA-PBE level of DFT.

Properties
VASP energy (eV per cell): -63.01

a b c (Å): 4.070 4.070 9.643
angles (deg): 90.00 90.00 90.00
Space group P-4m2 (No. 115)
One atom of each set of equivalent atoms:
1 La 0.000 0.500 0.248 x2
2 Ni 0.000 0.000 0.000 x1
3 Ni 0.000 0.500 0.643 x2
4 Ni 0.500 0.500 0.000 x1
5 P 0.000 0.500 0.877 x2
6 P 0.500 0.500 0.500 x1
7 Pd 0.000 0.000 0.500 x1



Computed, not measured: an optimized crystal structure of La2NiP3Pd4 at the GGA-PBE level of DFT.

Properties
VASP energy (eV per cell): -61.36

a b c (Å): 4.265 4.265 9.869
angles (deg): 90.00 90.00 90.00
Space group P-4m2 (No. 115)
One atom of each set of equivalent atoms:
1 La 0.000 0.500 0.245 x2
2 Ni 0.500 0.500 0.000 x1
3 P 0.000 0.000 0.000 x1
4 P 0.000 0.500 0.634 x2
5 Pd 0.000 0.000 0.500 x1
6 Pd 0.000 0.500 0.876 x2
7 Pd 0.500 0.500 0.500 x1



Computed, not measured: an optimized crystal structure of La2Ni3P4Pd at the GGA-PBE level of DFT.

Properties
VASP energy (eV per cell): -64.12

a b c (Å): 4.159 4.159 9.349
angles (deg): 90.00 90.00 90.00
Space group P-4m2 (No. 115)
One atom of each set of equivalent atoms:
1 La 0.000 0.500 0.243 x2
2 Ni 0.000 0.500 0.891 x2
3 Ni 0.500 0.500 0.500 x1
4 P 0.000 0.000 0.000 x1
5 P 0.000 0.500 0.639 x2
6 P 0.500 0.500 0.000 x1
7 Pd 0.000 0.000 0.500 x1



Computed, not measured: an optimized crystal structure of LaPmNi2P2 at the GGA-PBE level of DFT.

Properties
VASP energy (eV per cell): -39.15

a b c (Å): 3.9840 3.9840 8.1333
angles (deg): 90.00 90.00 120.00
Space group P-3m1 (No. 164)
One atom of each set of equivalent atoms:
1 La 0.0000 0.0000 0.0000 x1
2 Pm 0.0000 0.0000 0.5000 x1
3 Ni 0.3333 0.6667 0.7473 x2
4 P 0.3333 0.6667 0.2588 x2



Computed, not measured: an optimized crystal structure of LaPmNiP at the GGA-PBE level of DFT.

Properties
VASP energy (eV per cell): -93.21

a b c (Å): 7.114 7.114 7.114
angles (deg): 90.00 90.00 90.00
Space group F-43m (No. 216)
One atom of each set of equivalent atoms:
1 La 0.000 0.000 0.000 x4
2 Pm 0.000 0.000 0.500 x4
3 Ni 0.250 0.250 0.250 x4
4 P 0.250 0.250 0.750 x4



Computed, not measured: an optimized crystal structure of LaPrNi2P2 at the GGA-PBE level of DFT.

Properties
VASP energy (eV per cell): -39.05

a b c (Å): 4.0014 4.0014 8.2135
angles (deg): 90.00 90.00 120.00
Space group P-3m1 (No. 164)
One atom of each set of equivalent atoms:
1 La 0.0000 0.0000 0.0000 x1
2 Pr 0.0000 0.0000 0.5000 x1
3 Ni 0.3333 0.6667 0.7498 x2
4 P 0.3333 0.6667 0.2540 x2



Computed, not measured: an optimized crystal structure of La2NiP4Pt3 at the GGA-PBE level of DFT.

Properties
VASP energy (eV per cell): -65.74

a b c (Å): 4.304 4.304 9.561
angles (deg): 90.00 90.00 90.00
Space group P-4m2 (No. 115)
One atom of each set of equivalent atoms:
1 La 0.000 0.500 0.249 x2
2 Ni 0.500 0.500 0.000 x1
3 P 0.000 0.000 0.500 x1
4 P 0.000 0.500 0.874 x2
5 P 0.500 0.500 0.500 x1
6 Pt 0.000 0.000 0.000 x1
7 Pt 0.000 0.500 0.616 x2



Computed, not measured: an optimized crystal structure of La2NiP4Rh3 at the GGA-PBE level of DFT.

Properties
VASP energy (eV per cell): -70.08

a b c (Å): 4.224 4.224 9.493
angles (deg): 90.00 90.00 90.00
Space group P-4m2 (No. 115)
One atom of each set of equivalent atoms:
1 La 0.000 0.500 0.247 x2
2 Ni 0.000 0.000 0.500 x1
3 P 0.000 0.000 0.000 x1
4 P 0.000 0.500 0.630 x2
5 P 0.500 0.500 0.000 x1
6 Rh 0.000 0.500 0.888 x2
7 Rh 0.500 0.500 0.500 x1



Computed, not measured: an optimized crystal structure of La2NiP3Rh4 at the GGA-PBE level of DFT.

Properties
VASP energy (eV per cell): -71.08

a b c (Å): 4.169 4.169 9.837
angles (deg): 90.00 90.00 90.00
Space group P-4m2 (No. 115)
One atom of each set of equivalent atoms:
1 La 0.000 0.500 0.240 x2
2 Ni 0.500 0.500 0.000 x1
3 P 0.000 0.000 0.000 x1
4 P 0.000 0.500 0.635 x2
5 Rh 0.000 0.000 0.500 x1
6 Rh 0.000 0.500 0.873 x2
7 Rh 0.500 0.500 0.500 x1



Computed, not measured: an optimized crystal structure of La3Ni2P4Ru2 at the GGA-PBE level of DFT.

Properties
VASP energy (eV per cell): -78.26

a b c (Å): 3.9784 3.9784 15.2372
angles (deg): 90.00 90.00 120.00
Space group P-3m1 (No. 164)
One atom of each set of equivalent atoms:
1 La 0.0000 0.0000 0.0000 x1
2 La 0.0000 0.0000 0.2740 x2
3 Ni 0.3333 0.6667 0.1401 x2
4 P 0.3333 0.6667 0.4054 x2
5 P 0.3333 0.6667 0.8645 x2
6 Ru 0.3333 0.6667 0.5593 x2



Computed, not measured: an optimized crystal structure of LaNiP2S at the GGA-PBE level of DFT.

Properties
VASP energy (eV per cell): -20.22
Relative energy among the computed polymorphs (meV per atom): 1688

a b c (Å): 5.512 5.512 5.398
angles (deg): 90.00 90.00 90.00
Space group P4/mmm (No. 123)
One atom of each set of equivalent atoms:
1 La 0.000 0.000 0.000 x1
2 Ni 0.500 0.500 0.500 x1
3 P 0.000 0.500 0.000 x2
4 S 0.000 0.000 0.500 x1



Computed, not measured: an optimized crystal structure of LaNiP2S at the GGA-PBE level of DFT.

Properties
VASP energy (eV per cell): -28.66
Relative energy among the computed polymorphs (meV per atom): 0

a b c (Å): 4.393 4.393 4.876
angles (deg): 90.00 90.00 90.00
Space group P4/mmm (No. 123)
One atom of each set of equivalent atoms:
1 La 0.000 0.000 0.000 x1
2 Ni 0.500 0.500 0.500 x1
3 P 0.000 0.500 0.500 x2
4 S 0.500 0.500 0.000 x1



Computed, not measured: an optimized crystal structure of LaNiP2S8 at the GGA-PBE level of DFT.

Properties
VASP energy (eV per cell): -61.29

a b c (Å): 5.7747 5.7747 8.2690
angles (deg): 90.00 90.00 120.00
Space group P-3 (No. 147)
One atom of each set of equivalent atoms:
1 La 0.0000 0.0000 0.0000 x1
2 Ni 0.0000 0.0000 0.5000 x1
3 P 0.3333 0.6667 0.7423 x2
4 S 0.0048 0.6930 0.3186 x6
5 S 0.3333 0.6667 0.9888 x2



Computed, not measured: an optimized crystal structure of La2Ni4Sb3P at the GGA-PBE level of DFT.

Properties
VASP energy (eV per cell): -58.13

a b c (Å): 4.431 4.431 9.869
angles (deg): 90.00 90.00 90.00
Space group P-4m2 (No. 115)
One atom of each set of equivalent atoms:
1 La 0.000 0.500 0.246 x2
2 Ni 0.000 0.000 0.500 x1
3 Ni 0.000 0.500 0.891 x2
4 Ni 0.500 0.500 0.500 x1
5 Sb 0.000 0.000 0.000 x1
6 Sb 0.000 0.500 0.631 x2
7 P 0.500 0.500 0.000 x1



Computed, not measured: an optimized crystal structure of La2Ni4SnP3 at the GGA-PBE level of DFT.

Properties
VASP energy (eV per cell): -61.66

a b c (Å): 4.108 4.108 9.895
angles (deg): 90.00 90.00 90.00
Space group P-4m2 (No. 115)
One atom of each set of equivalent atoms:
1 La 0.000 0.500 0.232 x2
2 Ni 0.000 0.000 0.000 x1
3 Ni 0.000 0.500 0.646 x2
4 Ni 0.500 0.500 0.000 x1
5 Sn 0.000 0.000 0.500 x1
6 P 0.000 0.500 0.878 x2
7 P 0.500 0.500 0.500 x1



Computed, not measured: an optimized crystal structure of SrLaNi2P2 at the GGA-PBE level of DFT.

Properties
VASP energy (eV per cell): -35.16

a b c (Å): 3.9935 3.9935 8.5576
angles (deg): 90.00 90.00 120.00
Space group P-3m1 (No. 164)
One atom of each set of equivalent atoms:
1 Sr 0.0000 0.0000 0.0000 x1
2 La 0.0000 0.0000 0.5000 x1
3 Ni 0.3333 0.6667 0.2608 x2
4 P 0.3333 0.6667 0.7417 x2



Computed, not measured: an optimized crystal structure of La2TcNi3P4 at the GGA-PBE level of DFT.

Properties
VASP energy (eV per cell): -68.81

a b c (Å): 4.092 4.092 9.538
angles (deg): 90.00 90.00 90.00
Space group P-4m2 (No. 115)
One atom of each set of equivalent atoms:
1 La 0.000 0.500 0.237 x2
2 Tc 0.000 0.000 0.500 x1
3 Ni 0.000 0.500 0.890 x2
4 Ni 0.500 0.500 0.500 x1
5 P 0.000 0.000 0.000 x1
6 P 0.000 0.500 0.634 x2
7 P 0.500 0.500 0.000 x1



Computed, not measured: an optimized crystal structure of LaV2NiP at the GGA-PBE level of DFT.

Properties
VASP energy (eV per cell): -32.84

a b c (Å): 4.705 4.705 4.287
angles (deg): 90.00 90.00 90.00
Space group P4/mmm (No. 123)
One atom of each set of equivalent atoms:
1 La 0.000 0.000 0.000 x1
2 V 0.000 0.500 0.500 x2
3 Ni 0.500 0.500 0.500 x1
4 P 0.500 0.500 0.000 x1



Computed, not measured: an optimized crystal structure of LaYNiP2 at the GGA-PBE level of DFT.

Properties
VASP energy (eV per cell): -26.58

a b c (Å): 5.303 5.303 4.652
angles (deg): 90.00 90.00 90.00
Space group P4/mmm (No. 123)
One atom of each set of equivalent atoms:
1 La 0.000 0.000 0.000 x1
2 Y 0.500 0.500 0.500 x1
3 Ni 0.000 0.000 0.500 x1
4 P 0.000 0.500 0.000 x2



Computed, not measured: an optimized crystal structure of LaYNi2P2 at the GGA-PBE level of DFT.

Properties
VASP energy (eV per cell): -40.98

a b c (Å): 3.9523 3.9523 8.0198
angles (deg): 90.00 90.00 120.00
Space group P-3m1 (No. 164)
One atom of each set of equivalent atoms:
1 La 0.0000 0.0000 0.0000 x1
2 Y 0.0000 0.0000 0.5000 x1
3 Ni 0.3333 0.6667 0.7418 x2
4 P 0.3333 0.6667 0.2650 x2



Computed, not measured: an optimized crystal structure of LaZn2Ni2P at the GGA-PBE level of DFT.

Properties
VASP energy (eV per cell): -27.33

a b c (Å): 4.294 4.294 5.669
angles (deg): 90.00 90.00 90.00
Space group P4/mmm (No. 123)
One atom of each set of equivalent atoms:
1 La 0.000 0.000 0.000 x1
2 Zn 0.500 0.500 0.239 x2
3 Ni 0.000 0.500 0.500 x2
4 P 0.000 0.000 0.500 x1